## one
Computed, not measured: crystalline BaSrH2 at its relaxed geometry at the PBE-GGA level of DFT.

Geometry as CIF:
```
data_BaSrH2
_cell_length_a 5.005
_cell_length_b 5.005
_cell_length_c 5.005
_cell_angle_alpha 60.00
_cell_angle_beta 60.00
_cell_angle_gamma 60.00
_symmetry_space_group_name_H-M 'P 1'
_symmetry_Int_Tables_number 1
_symmetry_space_group_name_Hall 'P 1'
loop_
_atom_site_label
_atom_site_type_symbol
_atom_site_fract_x
_atom_site_fract_y
_atom_site_fract_z
Sr1 Sr 0.000 0.000 0.000
Ba1 Ba 0.500 0.500 0.500
H1 H 0.250 0.250 0.250
H2 H 0.750 0.750 0.750
```


## two
Computed, not measured: crystalline BaSrH2 at its relaxed geometry at the PBE-GGA level of DFT.

Geometry as CIF:
```
data_BaSrH2
_cell_length_a 6.027
_cell_length_b 6.027
_cell_length_c 7.396
_cell_angle_alpha 65.95
_cell_angle_beta 65.95
_cell_angle_gamma 90.00
_symmetry_space_group_name_H-M 'P 1'
_symmetry_Int_Tables_number 1
_symmetry_space_group_name_Hall 'P 1'
loop_
_atom_site_label
_atom_site_type_symbol
_atom_site_fract_x
_atom_site_fract_y
_atom_site_fract_z
Sr1 Sr 0.500 0.500 0.000
Sr2 Sr 0.250 0.750 0.500
Ba1 Ba 0.000 0.000 0.000
Ba2 Ba 0.750 0.250 0.500
H1 H 0.601 0.125 0.250
H2 H 0.149 0.625 0.250
H3 H 0.375 0.399 0.750
H4 H 0.875 0.851 0.750
```


So which one is most stable? That would be two, about 356 meV per atom below the next structure.


## one
Computed, not measured: crystalline BaSrH2 at its relaxed geometry at the PBE-GGA level of DFT.

Geometry as CIF:
```
data_BaSrH2
_cell_length_a 3.954
_cell_length_b 3.954
_cell_length_c 7.253
_cell_angle_alpha 74.18
_cell_angle_beta 74.18
_cell_angle_gamma 60.00
_symmetry_space_group_name_H-M 'P 1'
_symmetry_Int_Tables_number 1
_symmetry_space_group_name_Hall 'P 1'
loop_
_atom_site_label
_atom_site_type_symbol
_atom_site_fract_x
_atom_site_fract_y
_atom_site_fract_z
Ba1 Ba 0.494 0.494 0.517
Sr1 Sr 0.668 0.668 0.995
H1 H 0.067 0.067 0.799
H2 H 0.270 0.270 0.189
```


## two
Computed, not measured: crystalline BaSrH2 at its relaxed geometry at the PBE-GGA level of DFT.

Geometry as CIF:
```
data_BaSrH2
_cell_length_a 4.418
_cell_length_b 4.418
_cell_length_c 7.306
_cell_angle_alpha 72.40
_cell_angle_beta 72.40
_cell_angle_gamma 60.00
_symmetry_space_group_name_H-M 'P 1'
_symmetry_Int_Tables_number 1
_symmetry_space_group_name_Hall 'P 1'
loop_
_atom_site_label
_atom_site_type_symbol
_atom_site_fract_x
_atom_site_fract_y
_atom_site_fract_z
Ba1 Ba 0.500 0.500 0.500
Sr1 Sr 0.000 0.000 0.000
H1 H 0.120 0.120 0.640
H2 H 0.880 0.880 0.360
```


So which one is most stable? That would be two, about 171 meV per atom below the next structure.


## one
Computed, not measured: crystalline BaSr2H2 at its relaxed geometry at the PBE-GGA level of DFT.

Geometry as CIF:
```
data_BaSr2H2
_cell_length_a 8.231
_cell_length_b 8.231
_cell_length_c 4.981
_cell_angle_alpha 90.00
_cell_angle_beta 90.00
_cell_angle_gamma 90.00
_symmetry_space_group_name_H-M 'P 1'
_symmetry_Int_Tables_number 1
_symmetry_space_group_name_Hall 'P 1'
loop_
_atom_site_label
_atom_site_type_symbol
_atom_site_fract_x
_atom_site_fract_y
_atom_site_fract_z
Sr1 Sr 0.176 0.676 0.500
Sr2 Sr 0.676 0.824 0.500
Sr3 Sr 0.824 0.324 0.500
Sr4 Sr 0.324 0.176 0.500
Ba1 Ba 0.000 0.000 0.000
Ba2 Ba 0.500 0.500 0.000
H1 H 0.229 0.729 0.000
H2 H 0.729 0.771 0.000
H3 H 0.771 0.271 0.000
H4 H 0.271 0.229 0.000
```


## two
Computed, not measured: crystalline BaSr2H2 at its relaxed geometry at the PBE-GGA level of DFT.

Geometry as CIF:
```
data_BaSr2H2
_cell_length_a 4.140
_cell_length_b 4.140
_cell_length_c 10.241
_cell_angle_alpha 78.34
_cell_angle_beta 78.34
_cell_angle_gamma 90.00
_symmetry_space_group_name_H-M 'P 1'
_symmetry_Int_Tables_number 1
_symmetry_space_group_name_Hall 'P 1'
loop_
_atom_site_label
_atom_site_type_symbol
_atom_site_fract_x
_atom_site_fract_y
_atom_site_fract_z
Sr1 Sr 0.319 0.319 0.361
Sr2 Sr 0.681 0.681 0.639
Ba1 Ba 0.000 0.000 0.000
H1 H 0.750 0.250 0.500
H2 H 0.250 0.750 0.500
```


So which one is most stable? That would be two, about 207 meV per atom below the next structure.


## one
Computed, not measured: crystalline BaTa3H at its relaxed geometry at the PBE-GGA level of DFT.

Geometry as CIF:
```
data_BaTa3H
_cell_length_a 4.496
_cell_length_b 4.496
_cell_length_c 4.496
_cell_angle_alpha 90.00
_cell_angle_beta 90.00
_cell_angle_gamma 90.00
_symmetry_space_group_name_H-M 'P 1'
_symmetry_Int_Tables_number 1
_symmetry_space_group_name_Hall 'P 1'
loop_
_atom_site_label
_atom_site_type_symbol
_atom_site_fract_x
_atom_site_fract_y
_atom_site_fract_z
H1 H 0.000 0.000 0.000
Ba1 Ba 0.500 0.500 0.500
Ta1 Ta 0.000 0.500 0.000
Ta2 Ta 0.000 0.000 0.500
Ta3 Ta 0.500 0.000 0.000
```


## two
Computed, not measured: crystalline BaTa3H at its relaxed geometry at the PBE-GGA level of DFT.

Geometry as CIF:
```
data_BaTa3H
_cell_length_a 5.121
_cell_length_b 5.121
_cell_length_c 5.121
_cell_angle_alpha 90.00
_cell_angle_beta 90.00
_cell_angle_gamma 90.00
_symmetry_space_group_name_H-M 'P 1'
_symmetry_Int_Tables_number 1
_symmetry_space_group_name_Hall 'P 1'
loop_
_atom_site_label
_atom_site_type_symbol
_atom_site_fract_x
_atom_site_fract_y
_atom_site_fract_z
H1 H 0.500 0.500 0.500
Ba1 Ba 0.000 0.000 0.000
Ta1 Ta 0.000 0.500 0.000
Ta2 Ta 0.000 0.000 0.500
Ta3 Ta 0.500 0.000 0.000
```


So which one is most stable? That would be one, about 2577 meV per atom below the next structure.